Density functional theory data (PBE-GGA) for a geometry-optimized HfZrPb3 structure.

Its energy above the most stable polymorph in this dataset is 0 meV per atom. The calculation puts the spin magnetization at 2.01 μB per formula unit. The calculation puts the formation energy at 0.840 eV/atom.

It has space group Pm-3m (No. 221), with a = 5.541 Å, b = 5.541 Å, c = 5.541 Å, α = 90.00°, β = 90.00° and γ = 90.00°. The inequivalent atoms are Hf at (0.000, 0.000, 0.000), Zr at (0.500, 0.500, 0.500) and Pb at (0.000, 0.000, 0.500).